# CePaTc2

A relaxed structure of CePaTc2 (PBE, Alexandria via LeMat-Bulk).

Structure (POSCAR):
```
CePaTc2
1.0
0.000 3.450 3.450
3.450 0.000 3.450
3.450 3.450 0.000
Ce Pa Tc
1 1 2
Direct
0.000 0.000 0.000
0.500 0.500 0.500
0.250 0.250 0.250
0.750 0.750 0.750
```

The formation energy comes out at -0.08 eV per atom. The calculated total energy comes out at -9.119 eV/atom. Its density of states at the Fermi level is 4.15 states/eV/f.u.

# CePaTc2

A relaxed structure of CePaTc2 (PBE, Alexandria via LeMat-Bulk).

Structure (POSCAR):
```
CePaTc2
1.0
3.433 0.000 0.000
0.000 3.433 0.000
0.000 0.000 7.041
Ce Pa Tc
1 1 2
Direct
0.000 0.000 0.000
0.000 0.000 0.500
0.500 0.500 0.278
0.500 0.500 0.722
```

The formation energy comes out at -0.13 eV per atom. The calculated total energy comes out at -9.171 eV/atom. Its density of states at the Fermi level is 4.14 states/eV/f.u.

# CePaTc3

A relaxed structure of CePaTc3 (PBE, Alexandria via LeMat-Bulk).

Structure (POSCAR):
```
CePaTc3
1.0
3.337 -6.929 0.000
3.337 6.929 0.000
0.000 0.000 4.956
Ce Pa Tc
2 2 6
Direct
0.094 0.906 0.750
0.906 0.094 0.250
0.332 0.668 0.750
0.668 0.332 0.250
0.122 0.476 0.250
0.476 0.122 0.750
0.500 0.500 0.000
0.500 0.500 0.500
0.524 0.878 0.250
0.878 0.524 0.750
```

The formation energy comes out at 0.35 eV per atom. The calculated total energy comes out at -8.959 eV/atom. Its density of states at the Fermi level is 5.58 states/eV/f.u.

# Ce2Pa5Tc4

A relaxed structure of Ce2Pa5Tc4 (PBE, Alexandria via LeMat-Bulk).

Structure (POSCAR):
```
Ce2Pa5Tc4
1.0
10.179 -1.627 0.000
10.179 1.627 0.000
-0.176 0.000 7.561
Ce Pa Tc
2 5 4
Direct
0.075 0.075 0.127
0.925 0.925 0.873
0.171 0.171 0.545
0.215 0.215 0.185
0.500 0.500 0.500
0.785 0.785 0.815
0.829 0.829 0.455
0.055 0.055 0.726
0.336 0.336 0.114
0.664 0.664 0.886
0.945 0.945 0.274
```

The formation energy comes out at 0.05 eV per atom. The calculated total energy comes out at -9.110 eV/atom. Its density of states at the Fermi level is 16.39 states/eV/f.u.